## P
Compound: BiP2C
Source: Alexandria via LeMat-Bulk
Functional: PBE
Structure: relaxed

abc: 5.746 5.746 5.746
angles: 116.78 116.78 95.67
Positions (direct):
Bi1 0.000 0.000 0.000
Bi2 0.750 0.250 0.500
P1 0.250 0.625 0.125
P2 0.375 0.500 0.625
P3 0.500 0.125 0.875
P4 0.875 0.750 0.375
C1 0.250 0.750 0.500
C2 0.500 0.500 0.000

Fermi-level density of states: 0.8 states/eV/f.u.
V: 17.5 Å³ per atom
symmetry: I-42d (122)
total magnetization: 0.000 μB per formula unit
theoretical density: 6.7 Mg/m³

## Q
Compound: BiP2C
Source: Alexandria via LeMat-Bulk
Functional: PBE
Structure: relaxed

abc: 4.647 4.647 4.647
angles: 60.00 60.00 60.00
Positions (direct):
Bi1 0.000 0.000 0.000
P1 0.250 0.250 0.250
P2 0.750 0.750 0.750
C1 0.500 0.500 0.500

Fermi-level density of states: 3.1 states/eV/f.u.
V: 17.7 Å³ per atom
symmetry: Fm-3m (225)
total magnetization: 0.000 μB per formula unit
theoretical density: 6.6 Mg/m³

Tell me which of them is the most stable. Sure, it is P.

## P
Compound: BiPC3
Source: Alexandria via LeMat-Bulk
Functional: PBE
Structure: relaxed

abc: 4.479 4.479 4.479
angles: 90.00 90.00 90.00
Positions (direct):
Bi1 0.000 0.000 0.000
P1 0.500 0.500 0.500
C1 0.000 0.000 0.500
C2 0.000 0.500 0.000
C3 0.500 0.000 0.000

Fermi-level density of states: 3.5 states/eV/f.u.
V: 18.0 Å³ per atom
symmetry: Pm-3m (221)
total magnetization: 1.618 μB per formula unit
theoretical density: 5.1 Mg/m³

## Q
Compound: BiPC3
Source: Alexandria via LeMat-Bulk
Functional: PBE
Structure: relaxed

abc: 3.839 3.839 3.839
angles: 90.00 90.00 90.00
Positions (direct):
Bi1 0.000 0.000 0.000
P1 0.500 0.500 0.500
C1 0.000 0.500 0.500
C2 0.500 0.000 0.500
C3 0.500 0.500 0.000

Fermi-level density of states: 3.2 states/eV/f.u.
V: 11.3 Å³ per atom
symmetry: Pm-3m (221)
total magnetization: 0.000 μB per formula unit
theoretical density: 8.1 Mg/m³

Tell me which of them is the most stable. Sure, it is Q.

## P
Compound: BiP2CS
Source: Alexandria via LeMat-Bulk
Functional: PBE
Structure: relaxed

abc: 4.241 4.241 4.446
angles: 90.00 90.00 90.00
Positions (direct):
Bi1 0.000 0.000 0.000
P1 0.000 0.500 0.500
P2 0.500 0.000 0.500
C1 0.500 0.500 0.500
S1 0.500 0.500 0.000

Fermi-level density of states: 2.7 states/eV/f.u.
V: 16.0 Å³ per atom
symmetry: P4/mmm (123)
total magnetization: 0.000 μB per formula unit
theoretical density: 6.5 Mg/m³

## Q
Compound: BiP2CS
Source: Alexandria via LeMat-Bulk
Functional: PBE
Structure: relaxed

abc: 5.411 5.411 5.197
angles: 90.00 90.00 90.00
Positions (direct):
Bi1 0.000 0.000 0.000
P1 0.000 0.500 0.000
P2 0.500 0.000 0.000
C1 0.500 0.500 0.500
S1 0.000 0.000 0.500

Fermi-level density of states: 5.9 states/eV/f.u.
V: 30.4 Å³ per atom
symmetry: P4/mmm (123)
total magnetization: 1.228 μB per formula unit
theoretical density: 3.4 Mg/m³

Tell me which of them is the most stable. Sure, it is P.

## P
Compound: Pa2BiC
Source: Alexandria via LeMat-Bulk
Functional: PBE
Structure: relaxed

abc: 8.942 8.942 8.942
angles: 21.90 21.90 21.90
Positions (direct):
Pa1 0.223 0.223 0.223
Pa2 0.777 0.777 0.777
Bi1 0.000 0.000 0.000
C1 0.500 0.500 0.500

Fermi-level density of states: 4.9 states/eV/f.u.
V: 21.8 Å³ per atom
symmetry: R-3m (166)
total magnetization: 0.000 μB per formula unit
theoretical density: 13.0 Mg/m³

## Q
Compound: Pa2BiC
Source: Alexandria via LeMat-Bulk
Functional: PBE
Structure: relaxed

abc: 9.583 3.501 11.414
angles: 90.00 90.00 90.00
Positions (direct):
Pa1 0.055 0.250 0.131
Pa2 0.213 0.750 0.332
Pa3 0.287 0.250 0.832
Pa4 0.445 0.750 0.631
Pa5 0.555 0.250 0.369
Pa6 0.713 0.750 0.168
Pa7 0.787 0.250 0.668
Pa8 0.945 0.750 0.869
Bi1 0.105 0.750 0.617
Bi2 0.395 0.250 0.117
Bi3 0.605 0.750 0.883
Bi4 0.895 0.250 0.383
C1 0.087 0.250 0.929
C2 0.413 0.750 0.429
C3 0.587 0.250 0.571
C4 0.913 0.750 0.071

Fermi-level density of states: 5.3 states/eV/f.u.
V: 23.9 Å³ per atom
symmetry: Pnma (62)
total magnetization: 0.000 μB per formula unit
theoretical density: 11.8 Mg/m³

Tell me which of them is the most stable. Sure, it is P.

## P
Compound: Pa3Bi2C
Source: Alexandria via LeMat-Bulk
Functional: PBE
Structure: relaxed

abc: 4.809 3.370 10.439
angles: 90.00 103.20 90.00
Positions (direct):
Pa1 0.000 0.000 0.000
Pa2 0.415 0.500 0.828
Pa3 0.585 0.500 0.172
Bi1 0.167 0.000 0.339
Bi2 0.833 0.000 0.661
C1 0.500 0.000 0.000

Fermi-level density of states: 7.1 states/eV/f.u.
V: 27.4 Å³ per atom
symmetry: P2/m (10)
total magnetization: 0.001 μB per formula unit
theoretical density: 11.3 Mg/m³

## Q
Compound: Pa3Bi2C
Source: Alexandria via LeMat-Bulk
Functional: PBE
Structure: relaxed

abc: 8.307 8.307 8.307
angles: 156.82 138.19 48.35
Positions (direct):
Pa1 0.000 0.000 0.000
Pa2 0.389 0.389 0.000
Pa3 0.611 0.611 0.000
Bi1 0.188 0.688 0.500
Bi2 0.812 0.312 0.500
C1 0.500 0.000 0.500

Fermi-level density of states: 10.4 states/eV/f.u.
V: 25.0 Å³ per atom
symmetry: Immm (71)
total magnetization: 0.007 μB per formula unit
theoretical density: 12.4 Mg/m³

Tell me which of them is the most stable. Sure, it is P.

## P
Compound: Pa4Bi2C
Source: Alexandria via LeMat-Bulk
Functional: PBE
Structure: relaxed

abc: 8.785 8.785 8.785
angles: 148.68 148.68 44.88
Positions (direct):
Pa1 0.000 0.500 0.500
Pa2 0.147 0.147 0.000
Pa3 0.500 0.000 0.500
Pa4 0.853 0.853 0.000
Bi1 0.350 0.350 0.000
Bi2 0.650 0.650 0.000
C1 0.000 0.000 0.000

Fermi-level density of states: 12.0 states/eV/f.u.
V: 26.1 Å³ per atom
symmetry: I4/mmm (139)
total magnetization: 0.001 μB per formula unit
theoretical density: 12.3 Mg/m³

## Q
Compound: Pa4Bi2C
Source: Alexandria via LeMat-Bulk
Functional: PBE
Structure: relaxed

abc: 7.314 6.485 7.913
angles: 90.00 105.26 90.00
Positions (direct):
Pa1 0.018 0.031 0.258
Pa2 0.018 0.469 0.258
Pa3 0.347 0.250 0.087
Pa4 0.357 0.250 0.595
Pa5 0.643 0.750 0.405
Pa6 0.653 0.750 0.913
Pa7 0.982 0.531 0.742
Pa8 0.982 0.969 0.742
Bi1 0.283 0.750 0.069
Bi2 0.289 0.750 0.572
Bi3 0.711 0.250 0.428
Bi4 0.717 0.250 0.931
C1 0.183 0.250 0.798
C2 0.817 0.750 0.202

Fermi-level density of states: 11.6 states/eV/f.u.
V: 25.9 Å³ per atom
symmetry: P2_1/m (11)
total magnetization: 0.001 μB per formula unit
theoretical density: 12.4 Mg/m³

Tell me which of them is the most stable. Sure, it is P.

## P
Compound: BiPbC2
Source: Alexandria via LeMat-Bulk
Functional: PBE
Structure: relaxed

abc: 4.620 4.620 4.620
angles: 60.00 60.00 60.00
Positions (direct):
Bi1 0.000 0.000 0.000
Pb1 0.500 0.500 0.500
C1 0.250 0.250 0.250
C2 0.750 0.750 0.750

Fermi-level density of states: 2.6 states/eV/f.u.
V: 17.4 Å³ per atom
symmetry: Fm-3m (225)
total magnetization: 0.000 μB per formula unit
theoretical density: 10.5 Mg/m³

## Q
Compound: BiPbC2
Source: Alexandria via LeMat-Bulk
Functional: PBE
Structure: relaxed

abc: 6.727 6.727 6.727
angles: 131.97 131.97 70.27
Positions (direct):
Bi1 0.000 0.000 0.000
Bi2 0.750 0.250 0.500
Pb1 0.250 0.750 0.500
Pb2 0.500 0.500 0.000
C1 0.127 0.625 0.002
C2 0.375 0.377 0.502
C3 0.623 0.125 0.998
C4 0.875 0.873 0.498

Fermi-level density of states: 1.6 states/eV/f.u.
V: 20.6 Å³ per atom
symmetry: I-42d (122)
total magnetization: 0.000 μB per formula unit
theoretical density: 8.9 Mg/m³

Tell me which of them is the most stable. Sure, it is Q.

## P
Compound: Bi3PdC
Source: Alexandria via LeMat-Bulk
Functional: PBE
Structure: relaxed

abc: 4.917 4.917 4.917
angles: 90.00 90.00 90.00
Positions (direct):
Bi1 0.000 0.000 0.500
Bi2 0.000 0.500 0.000
Bi3 0.500 0.000 0.000
Pd1 0.500 0.500 0.500
C1 0.000 0.000 0.000

Fermi-level density of states: 3.0 states/eV/f.u.
V: 23.8 Å³ per atom
symmetry: Pm-3m (221)
total magnetization: 0.000 μB per formula unit
theoretical density: 10.4 Mg/m³

## Q
Compound: Bi3PdC
Source: Alexandria via LeMat-Bulk
Functional: PBE
Structure: relaxed

abc: 5.364 5.364 5.364
angles: 90.00 90.00 90.00
Positions (direct):
Bi1 0.000 0.000 0.500
Bi2 0.000 0.500 0.000
Bi3 0.500 0.000 0.000
Pd1 0.000 0.000 0.000
C1 0.500 0.500 0.500

Fermi-level density of states: 4.9 states/eV/f.u.
V: 30.9 Å³ per atom
symmetry: Pm-3m (221)
total magnetization: 0.668 μB per formula unit
theoretical density: 8.0 Mg/m³

Tell me which of them is the most stable. Sure, it is P.